No. 1
First-principles (PBE) data for an optimized crystal structure of Sm3Cd5In, as listed in Alexandria via LeMat-Bulk. Values from VASP.

Geometry as Quantum ESPRESSO input:
```
&SYSTEM
  ibrav = 0, nat = 18, ntyp = 3
/
ATOMIC_SPECIES
Sm 150.36 Sm.upf
Cd 112.41 Cd.upf
In 114.82 In.upf
ATOMIC_POSITIONS crystal
Sm 0.000 0.322 0.250
Sm 0.000 0.678 0.750
Sm 0.322 0.000 0.250
Sm 0.322 0.322 0.750
Sm 0.678 0.000 0.750
Sm 0.678 0.678 0.250
Cd 0.000 0.347 0.750
Cd 0.000 0.653 0.250
Cd 0.333 0.667 0.000
Cd 0.333 0.667 0.500
Cd 0.347 0.000 0.750
Cd 0.347 0.347 0.250
Cd 0.653 0.000 0.250
Cd 0.653 0.653 0.750
Cd 0.667 0.333 0.000
Cd 0.667 0.333 0.500
In 0.000 0.000 0.000
In 0.000 0.000 0.500
CELL_PARAMETERS angstrom
9.096 0.000 0.000
-4.548 7.877 0.000
0.000 0.000 6.452
```

density	8.103	g/cm³
density of states at the Fermi level	4.38	states/eV/f.u.
total moment	0.0	μB per formula unit
ΔH_f (0 K)	-0.33	eV per atom
E	-48.85	eV for the cell shown

No. 2
First-principles (PBE) data for an optimized crystal structure of NbGePbO6, as listed in Alexandria via LeMat-Bulk. Values from VASP.

Geometry as Quantum ESPRESSO input:
```
&SYSTEM
  ibrav = 0, nat = 9, ntyp = 4
/
ATOMIC_SPECIES
Nb 92.91 Nb.upf
Ge 72.64 Ge.upf
Pb 207.20 Pb.upf
O 16.00 O.upf
ATOMIC_POSITIONS crystal
Nb 0.000 0.000 0.000
Ge 0.333 0.667 0.000
Pb 0.667 0.333 0.500
O 0.048 0.347 0.214
O 0.048 0.701 0.786
O 0.299 0.347 0.786
O 0.299 0.952 0.214
O 0.653 0.701 0.214
O 0.653 0.952 0.786
CELL_PARAMETERS angstrom
5.267 0.000 0.000
-2.634 4.561 0.000
0.000 0.000 4.970
```

formation energy without anion corrections	-1743.9	meV/atom
density	6.519	g/cm³
density of states at the Fermi level	3.22	states/eV/f.u.
total moment	0.0	μB per formula unit
E	-63.84	eV for the cell shown

No. 3
First-principles (PBE) data for an optimized crystal structure of Dy4InHg2Ir, as listed in Alexandria via LeMat-Bulk. Values from VASP.

Geometry as Quantum ESPRESSO input:
```
&SYSTEM
  ibrav = 0, nat = 8, ntyp = 4
/
ATOMIC_SPECIES
Dy 162.50 Dy.upf
In 114.82 In.upf
Hg 200.59 Hg.upf
Ir 192.22 Ir.upf
ATOMIC_POSITIONS crystal
Dy 0.113 0.113 0.113
Dy 0.367 0.367 0.367
Dy 0.633 0.633 0.633
Dy 0.887 0.887 0.887
In 0.500 0.500 0.500
Hg 0.239 0.239 0.239
Hg 0.761 0.761 0.761
Ir 0.000 0.000 0.000
CELL_PARAMETERS angstrom
2.590 1.495 8.392
-2.590 1.495 8.392
0.000 -2.991 8.392
```

density	11.566	g/cm³
density of states at the Fermi level	5.71	states/eV/f.u.
total moment	0.0	μB per formula unit
ΔH_f (0 K)	-0.59	eV per atom
E	-35.30	eV for the cell shown

No. 4
First-principles (PBE) data for an optimized crystal structure of KTl2In2, as listed in Alexandria via LeMat-Bulk. Values from VASP.

Geometry as Quantum ESPRESSO input:
```
&SYSTEM
  ibrav = 0, nat = 10, ntyp = 3
/
ATOMIC_SPECIES
K 39.10 K.upf
Tl 204.38 Tl.upf
In 114.82 In.upf
ATOMIC_POSITIONS crystal
K 0.000 0.000 0.000
K 0.500 0.500 0.000
Tl 0.167 0.333 0.500
Tl 0.333 0.833 0.500
Tl 0.667 0.167 0.500
Tl 0.833 0.667 0.500
In 0.126 0.626 0.000
In 0.374 0.126 0.000
In 0.626 0.874 0.000
In 0.874 0.374 0.000
CELL_PARAMETERS angstrom
9.347 0.000 0.000
0.000 9.347 0.000
0.000 0.000 3.637
```

density	7.081	g/cm³
density of states at the Fermi level	2.80	states/eV/f.u.
total moment	0.0	μB per formula unit
ΔH_f (0 K)	-0.05	eV per atom
E above lowest polymorph	38	meV per atom
E	-23.08	eV for the cell shown

No. 5
First-principles (PBE) data for an optimized crystal structure of Ho4PdPb, as listed in Alexandria via LeMat-Bulk. Values from VASP.

Geometry as Quantum ESPRESSO input:
```
&SYSTEM
  ibrav = 0, nat = 12, ntyp = 3
/
ATOMIC_SPECIES
Ho 164.93 Ho.upf
Pd 106.42 Pd.upf
Pb 207.20 Pb.upf
ATOMIC_POSITIONS crystal
Ho 0.065 0.708 0.929
Ho 0.210 0.360 0.662
Ho 0.292 0.935 0.571
Ho 0.360 0.210 0.162
Ho 0.640 0.790 0.838
Ho 0.708 0.065 0.429
Ho 0.790 0.640 0.338
Ho 0.935 0.292 0.071
Pd 0.001 0.999 0.750
Pd 0.999 0.001 0.250
Pb 0.376 0.624 0.250
Pb 0.624 0.376 0.750
CELL_PARAMETERS angstrom
4.462 -6.860 0.000
4.462 6.860 0.000
-2.300 0.000 5.441
```

density	9.706	g/cm³
density of states at the Fermi level	7.22	states/eV/f.u.
total moment	0.0	μB per formula unit
ΔH_f (0 K)	-0.44	eV per atom
E	-59.73	eV for the cell shown

No. 6
First-principles (PBE) data for an optimized crystal structure of MgRe2Te, as listed in Alexandria via LeMat-Bulk. Values from VASP.

Geometry as Quantum ESPRESSO input:
```
&SYSTEM
  ibrav = 0, nat = 8, ntyp = 3
/
ATOMIC_SPECIES
Mg 24.30 Mg.upf
Re 186.21 Re.upf
Te 127.60 Te.upf
ATOMIC_POSITIONS crystal
Mg 0.000 0.000 0.000
Mg 0.500 0.500 0.000
Re 0.244 0.000 0.781
Re 0.256 0.500 0.219
Re 0.744 0.500 0.781
Re 0.756 0.000 0.219
Te 0.000 0.500 0.500
Te 0.500 0.000 0.500
CELL_PARAMETERS angstrom
9.424 0.000 0.000
0.000 3.172 0.000
-0.814 0.000 4.722
```

formation energy without anion corrections	609.7	meV/atom
density	12.337	g/cm³
density of states at the Fermi level	3.56	states/eV/f.u.
total moment	0.0	μB per formula unit
E above lowest polymorph	398	meV per atom
E	-54.39	eV for the cell shown

Which of these has the lowest E?
NbGePbO6

What is the formula in the third record?
Dy4InHg2Ir